Density functional theory data (PBE-GGA) for a relaxed Ac5Mg4In4 crystal.

Structure (CIF):
```
data_Ac5Mg4In4
_cell_length_a 4.8851
_cell_length_b 9.5891
_cell_length_c 9.5891
_cell_angle_alpha 86.28
_cell_angle_beta 75.24
_cell_angle_gamma 75.24
_space_group_name_H-M_alt 'P 1'
_space_group_IT_number 1
loop_
_space_group_symop_operation_xyz
'x,y,z'
loop_
_atom_site_label
_atom_site_type_symbol
_atom_site_fract_x
_atom_site_fract_y
_atom_site_fract_z
_atom_site_occupancy
Ac1 Ac 0.6332 0.6613 0.0723 1
Ac2 Ac 0.7055 0.9277 0.6613 1
Ac3 Ac 0.0000 0.0000 0.0000 1
Ac4 Ac 0.3668 0.3387 0.9277 1
Mg1 Mg 0.8985 0.5273 0.6757 1
Ac5 Ac 0.2945 0.0723 0.3387 1
Mg2 Mg 0.1015 0.4727 0.3243 1
Mg3 Mg 0.5742 0.3243 0.5273 1
In1 In 0.2611 0.6854 0.7924 1
In2 In 0.7389 0.3146 0.2076 1
In3 In 0.9465 0.7924 0.3146 1
In4 In 0.0535 0.2076 0.6854 1
Mg4 Mg 0.4258 0.6757 0.4727 1
```

Calculated values
The calculation puts the total magnetic moment at 0.0 μB/f.u. As for the total energy: -41.87 eV/cell. The value obtained for the density of states at the Fermi level is 11.78 states/eV per cell.

---

Density functional theory data (PBE-GGA) for a relaxed AcMg2In6 crystal.

Structure (CIF):
```
data_AcMg2In6
_cell_length_a 9.5330
_cell_length_b 9.5330
_cell_length_c 9.5330
_cell_angle_alpha 60.00
_cell_angle_beta 60.00
_cell_angle_gamma 60.00
_space_group_name_H-M_alt 'P 1'
_space_group_IT_number 1
loop_
_space_group_symop_operation_xyz
'x,y,z'
loop_
_atom_site_label
_atom_site_type_symbol
_atom_site_fract_x
_atom_site_fract_y
_atom_site_fract_z
_atom_site_occupancy
In1 In 0.7490 0.7490 0.2510 1
In2 In 0.7490 0.2510 0.2510 1
In3 In 0.5010 0.9990 0.5010 1
Mg1 Mg 0.1250 0.6250 0.1250 1
Mg2 Mg 0.1250 0.1250 0.6250 1
In4 In 0.5010 0.9990 0.9990 1
In5 In 0.9990 0.5010 0.9990 1
In6 In 0.9990 0.9990 0.5010 1
Mg3 Mg 0.6250 0.1250 0.1250 1
In7 In 0.9990 0.5010 0.5010 1
In8 In 0.2510 0.7490 0.7490 1
In9 In 0.5010 0.5010 0.9990 1
In10 In 0.2510 0.7490 0.2510 1
In11 In 0.2510 0.2510 0.7490 1
In12 In 0.7490 0.2510 0.7490 1
Mg4 Mg 0.1250 0.1250 0.1250 1
Ac1 Ac 0.5000 0.5000 0.5000 1
Ac2 Ac 0.7500 0.7500 0.7500 1
```

Calculated values
The calculation puts the total magnetic moment at 0.0 μB/f.u. As for the total energy: -44.28 eV/cell. The value obtained for the density of states at the Fermi level is 15.38 states/eV per cell.

---

Density functional theory data (PBE-GGA) for a relaxed Ac4Mg2In crystal.

Structure (CIF):
```
data_Ac4Mg2In
_cell_length_a 7.0660
_cell_length_b 7.0660
_cell_length_c 7.0660
_cell_angle_alpha 109.65
_cell_angle_beta 109.38
_cell_angle_gamma 109.38
_space_group_name_H-M_alt 'P 1'
_space_group_IT_number 1
loop_
_space_group_symop_operation_xyz
'x,y,z'
loop_
_atom_site_label
_atom_site_type_symbol
_atom_site_fract_x
_atom_site_fract_y
_atom_site_fract_z
_atom_site_occupancy
Ac1 Ac 0.0000 0.5000 0.0000 1
Ac2 Ac 0.5000 0.5000 0.5000 1
Ac3 Ac 0.5000 0.0000 0.0000 1
In1 In 0.0000 0.0000 0.0000 1
Mg1 Mg 0.5000 0.0000 0.5000 1
Mg2 Mg 0.5000 0.5000 0.0000 1
Ac4 Ac 0.0000 0.0000 0.5000 1
```

Calculated values
The calculation puts the total magnetic moment at 0.0 μB/f.u. As for the total energy: -22.85 eV/cell. The value obtained for the density of states at the Fermi level is 6.15 states/eV per cell.

---

Density functional theory data (PBE-GGA) for a relaxed AcMg5In3 crystal.

Structure (CIF):
```
data_AcMg5In3
_cell_length_a 4.5924
_cell_length_b 7.8230
_cell_length_c 14.0186
_cell_angle_alpha 90.00
_cell_angle_beta 90.00
_cell_angle_gamma 107.07
_space_group_name_H-M_alt 'P 1'
_space_group_IT_number 1
loop_
_space_group_symop_operation_xyz
'x,y,z'
loop_
_atom_site_label
_atom_site_type_symbol
_atom_site_fract_x
_atom_site_fract_y
_atom_site_fract_z
_atom_site_occupancy
Mg1 Mg 0.4319 0.8639 0.3569 1
In1 In 0.3860 0.7721 0.9315 1
Ac1 Ac 0.1630 0.3260 0.2500 1
Ac2 Ac 0.8370 0.6740 0.7500 1
In2 In 0.6140 0.2279 0.4315 1
Mg2 Mg 0.1945 0.3890 0.9499 1
Mg3 Mg 0.0000 0.0000 0.0000 1
Mg4 Mg 0.8055 0.6110 0.4499 1
Mg5 Mg 0.5681 0.1361 0.6431 1
Mg6 Mg 0.0000 0.0000 0.5000 1
Mg7 Mg 0.8055 0.6110 0.0501 1
Mg8 Mg 0.1945 0.3890 0.5501 1
Mg9 Mg 0.4319 0.8639 0.1431 1
In3 In 0.8602 0.7204 0.2500 1
In4 In 0.1398 0.2796 0.7500 1
In5 In 0.3860 0.7721 0.5685 1
Mg10 Mg 0.5681 0.1361 0.8569 1
In6 In 0.6140 0.2279 0.0685 1
```

Calculated values
The calculation puts the total magnetic moment at 0.0 μB/f.u. As for the total energy: -43.39 eV/cell. The value obtained for the density of states at the Fermi level is 9.10 states/eV per cell.

---

Density functional theory data (PBE-GGA) for a relaxed Ac8MgIn2 crystal.

Structure (CIF):
```
data_Ac8MgIn2
_cell_length_a 5.5620
_cell_length_b 9.6849
_cell_length_c 9.8247
_cell_angle_alpha 119.53
_cell_angle_beta 106.44
_cell_angle_gamma 90.00
_space_group_name_H-M_alt 'P 1'
_space_group_IT_number 1
loop_
_space_group_symop_operation_xyz
'x,y,z'
loop_
_atom_site_label
_atom_site_type_symbol
_atom_site_fract_x
_atom_site_fract_y
_atom_site_fract_z
_atom_site_occupancy
In1 In 0.1941 0.6940 0.3881 1
Mg1 Mg 0.5000 0.0000 0.0000 1
Ac1 Ac 0.0000 0.6813 0.0000 1
Ac2 Ac 0.6598 0.8813 0.3197 1
Ac3 Ac 0.6598 0.4384 0.3197 1
Ac4 Ac 0.3402 0.5616 0.6803 1
Ac5 Ac 0.1440 0.1440 0.2881 1
Ac6 Ac 0.3402 0.1187 0.6803 1
Ac7 Ac 0.0000 0.3187 0.0000 1
In2 In 0.8059 0.3060 0.6119 1
Ac8 Ac 0.8560 0.8560 0.7119 1
```

Calculated values
The calculation puts the total magnetic moment at 0.0 μB/f.u. As for the total energy: -40.95 eV/cell. The value obtained for the density of states at the Fermi level is 12.84 states/eV per cell. For the polymorph energy (0 for the lowest one), the calculation gives 0.025 eV/atom.

---

Density functional theory data (PBE-GGA) for a relaxed AcMg2In crystal.

Structure (CIF):
```
data_AcMg2In
_cell_length_a 5.0837
_cell_length_b 6.4251
_cell_length_c 7.6494
_cell_angle_alpha 90.00
_cell_angle_beta 90.00
_cell_angle_gamma 113.30
_space_group_name_H-M_alt 'P 1'
_space_group_IT_number 1
loop_
_space_group_symop_operation_xyz
'x,y,z'
loop_
_atom_site_label
_atom_site_type_symbol
_atom_site_fract_x
_atom_site_fract_y
_atom_site_fract_z
_atom_site_occupancy
Mg1 Mg 0.6274 0.2549 0.4442 1
Mg2 Mg 0.3726 0.7451 0.5558 1
Mg3 Mg 0.6274 0.2549 0.0558 1
Mg4 Mg 0.3726 0.7451 0.9442 1
Ac1 Ac 0.0874 0.1748 0.7500 1
In1 In 0.2032 0.4064 0.2500 1
In2 In 0.7968 0.5936 0.7500 1
Ac2 Ac 0.9126 0.8252 0.2500 1
```

Calculated values
The calculation puts the total magnetic moment at 0.0 μB/f.u. As for the total energy: -22.29 eV/cell. The value obtained for the density of states at the Fermi level is 1.99 states/eV per cell. For the polymorph energy (0 for the lowest one), the calculation gives 0.000 eV/atom.

---

Density functional theory data (PBE-GGA) for a relaxed Ac3Mg3In2 crystal.

Structure (CIF):
```
data_Ac3Mg3In2
_cell_length_a 5.1083
_cell_length_b 6.5445
_cell_length_c 16.8553
_cell_angle_alpha 90.00
_cell_angle_beta 90.00
_cell_angle_gamma 112.97
_space_group_name_H-M_alt 'P 1'
_space_group_IT_number 1
loop_
_space_group_symop_operation_xyz
'x,y,z'
loop_
_atom_site_label
_atom_site_type_symbol
_atom_site_fract_x
_atom_site_fract_y
_atom_site_fract_z
_atom_site_occupancy
In1 In 0.7998 0.5996 0.8970 1
Ac1 Ac 0.6232 0.2463 0.2500 1
Mg1 Mg 0.3309 0.6617 0.2500 1
Ac2 Ac 0.9070 0.8140 0.1092 1
In2 In 0.7998 0.5996 0.6030 1
Ac3 Ac 0.0930 0.1860 0.6092 1
Mg2 Mg 0.6221 0.2442 0.4667 1
Mg3 Mg 0.6221 0.2442 0.0333 1
Ac4 Ac 0.0930 0.1860 0.8908 1
In3 In 0.2002 0.4004 0.3970 1
Ac5 Ac 0.9070 0.8140 0.3908 1
Ac6 Ac 0.3768 0.7537 0.7500 1
In4 In 0.2002 0.4004 0.1030 1
Mg4 Mg 0.3779 0.7558 0.5333 1
Mg5 Mg 0.3779 0.7558 0.9667 1
Mg6 Mg 0.6691 0.3383 0.7500 1
```

Calculated values
The calculation puts the total magnetic moment at 0.0 μB/f.u. As for the total energy: -49.28 eV/cell. The value obtained for the density of states at the Fermi level is 15.51 states/eV per cell. For the polymorph energy (0 for the lowest one), the calculation gives 0.000 eV/atom.

---

Density functional theory data (PBE-GGA) for a relaxed Ac2Mg3In crystal.

Structure (CIF):
```
data_Ac2Mg3In
_cell_length_a 3.8209
_cell_length_b 5.3280
_cell_length_c 9.2267
_cell_angle_alpha 90.00
_cell_angle_beta 90.00
_cell_angle_gamma 90.00
_space_group_name_H-M_alt 'P 1'
_space_group_IT_number 1
loop_
_space_group_symop_operation_xyz
'x,y,z'
loop_
_atom_site_label
_atom_site_type_symbol
_atom_site_fract_x
_atom_site_fract_y
_atom_site_fract_z
_atom_site_occupancy
In1 In 0.5000 0.5000 0.3359 1
Ac1 Ac 0.0000 0.5000 0.0059 1
Mg1 Mg 0.5000 0.0000 0.8317 1
Mg2 Mg 0.5000 0.0000 0.1649 1
Ac2 Ac 0.0000 0.0000 0.4938 1
Mg3 Mg 0.5000 0.5000 0.6678 1
```

Calculated values
The calculation puts the total magnetic moment at 0.0 μB/f.u. As for the total energy: -16.86 eV/cell. The value obtained for the density of states at the Fermi level is 5.70 states/eV per cell. For the polymorph energy (0 for the lowest one), the calculation gives 0.057 eV/atom.

---

Q: total energy of number 4 (AcMg5In3)?
A: -43.39 eV/cell

---

Q: What is the formula in the first record?
A: Ac5Mg4In4

---

Q: What is the formula in the eighth record?
A: Ac2Mg3In